The following is a DFT calculation (PBEsol) of a relaxed Si5Ir3 crystal.

Values from the calculation:
Total energy (eV/atom): -7.96
Volume (Å³ per cell): 938
Formation energy without anion corrections (eV per atom): -0.69
Spin magnetization (μB per formula unit): 0.000
Mass density (g/cm³): 10.16

Cell: 6.407 10.412 14.154 Å, 90.00 90.00 96.69°
Element x y z (fractional)
Ir (0.684, 0.111, 0.402)
Ir (0.816, 0.389, 0.902)
Ir (0.316, 0.889, 0.598)
Ir (0.184, 0.611, 0.098)
Ir (0.831, 0.396, 0.594)
Ir (0.669, 0.104, 0.094)
Ir (0.169, 0.604, 0.406)
Ir (0.331, 0.896, 0.906)
Ir (0.291, 0.244, 0.752)
Ir (0.209, 0.256, 0.252)
Ir (0.709, 0.756, 0.248)
Ir (0.791, 0.744, 0.748)
Ir (0.190, 0.273, 0.956)
Ir (0.310, 0.227, 0.456)
Ir (0.810, 0.727, 0.044)
Ir (0.690, 0.773, 0.544)
Ir (0.897, 0.134, 0.668)
Ir (0.603, 0.366, 0.168)
Ir (0.103, 0.866, 0.332)
Ir (0.397, 0.634, 0.832)
Ir (0.759, 0.993, 0.835)
Ir (0.741, 0.507, 0.335)
Ir (0.241, 0.007, 0.165)
Ir (0.259, 0.493, 0.665)
Si (0.140, 0.067, 0.840)
Si (0.360, 0.433, 0.340)
Si (0.860, 0.933, 0.160)
Si (0.640, 0.567, 0.660)
Si (0.832, 0.577, 0.491)
Si (0.668, 0.923, 0.991)
Si (0.168, 0.423, 0.509)
Si (0.332, 0.077, 0.009)
Si (0.465, 0.327, 0.609)
Si (0.035, 0.173, 0.109)
Si (0.535, 0.673, 0.391)
Si (0.965, 0.827, 0.891)
Si (0.836, 0.164, 0.943)
Si (0.664, 0.336, 0.443)
Si (0.164, 0.836, 0.057)
Si (0.336, 0.664, 0.557)
Si (0.249, 0.109, 0.612)
Si (0.251, 0.391, 0.112)
Si (0.751, 0.891, 0.388)
Si (0.749, 0.609, 0.888)
Si (0.156, 0.511, 0.936)
Si (0.344, 0.989, 0.436)
Si (0.844, 0.489, 0.064)
Si (0.656, 0.011, 0.564)
Si (0.956, 0.910, 0.651)
Si (0.544, 0.590, 0.151)
Si (0.044, 0.090, 0.349)
Si (0.456, 0.410, 0.849)
Si (0.449, 0.705, 0.988)
Si (0.051, 0.795, 0.488)
Si (0.551, 0.295, 0.012)
Si (0.949, 0.205, 0.512)
Si (0.473, 0.857, 0.750)
Si (0.027, 0.643, 0.250)
Si (0.527, 0.143, 0.250)
Si (0.973, 0.357, 0.750)
Si (0.637, 0.192, 0.781)
Si (0.863, 0.308, 0.281)
Si (0.363, 0.808, 0.219)
Si (0.137, 0.692, 0.719)



The following is a DFT calculation (PBEsol) of a relaxed Si2Ir crystal.

Values from the calculation:
DOS at the Fermi energy (states/eV/cell): 1.32
Total energy (eV/atom): -7.39
Volume (Å³ per cell): 42
Formation energy without anion corrections (eV per atom): -0.28
Spin magnetization (μB per formula unit): 0.000
Mass density (g/cm³): 9.84

Cell: 2.972 2.972 5.479 Å, 90.00 90.00 120.00°
Element x y z (fractional)
Si (0.333, 0.667, 0.326)
Si (0.667, 0.333, 0.674)
Ir (0.000, 0.000, 0.000)



The following is a DFT calculation (PBEsol) of a relaxed Si3Ir crystal.

Values from the calculation:
DOS at the Fermi energy (states/eV/cell): 1.52
Total energy (eV/atom): -6.79
Volume (Å³ per cell): 60
Formation energy without anion corrections (eV per atom): -0.03
Spin magnetization (μB per formula unit): 0.000
Mass density (g/cm³): 7.66

Cell: 2.712 4.048 5.976 Å, 109.80 103.12 90.00°
Element x y z (fractional)
Si (0.704, 0.704, 0.409)
Si (0.296, 0.296, 0.591)
Si (0.500, 0.000, 0.000)
Ir (0.000, 0.500, 0.000)



The following is a DFT calculation (PBEsol) of a relaxed SiIr2 crystal.

Values from the calculation:
DOS at the Fermi energy (states/eV/cell): 5.50
Total energy (eV/atom): -8.98
Volume (Å³ per cell): 160
Formation energy without anion corrections (eV per atom): -0.51
Spin magnetization (μB per formula unit): 0.000
Mass density (g/cm³): 17.10

Cell: 3.986 5.256 7.646 Å, 90.00 90.00 90.00°
Element x y z (fractional)
Ir (0.750, 0.475, 0.702)
Ir (0.250, 0.025, 0.202)
Ir (0.750, 0.975, 0.798)
Ir (0.250, 0.525, 0.298)
Ir (0.750, 0.339, 0.074)
Ir (0.250, 0.161, 0.574)
Ir (0.750, 0.839, 0.426)
Ir (0.250, 0.661, 0.926)
Si (0.750, 0.797, 0.101)
Si (0.250, 0.703, 0.601)
Si (0.750, 0.297, 0.399)
Si (0.250, 0.203, 0.899)



The following is a DFT calculation (PBEsol) of a relaxed Si3Ir crystal.

Values from the calculation:
DOS at the Fermi energy (states/eV/cell): 1.89
Total energy (eV/atom): -6.70
Volume (Å³ per cell): 55
Formation energy without anion corrections (eV per atom): 0.06
Spin magnetization (μB per formula unit): 0.000
Mass density (g/cm³): 8.41

Cell: 4.065 4.378 4.065 Å, 62.34 90.00 117.66°
Element x y z (fractional)
Si (0.250, 0.500, 0.250)
Si (0.500, 0.000, 0.500)
Si (0.750, 0.500, 0.750)
Ir (0.000, 0.000, 0.000)



The following is a DFT calculation (PBEsol) of a relaxed SiIr3 crystal.

Values from the calculation:
DOS at the Fermi energy (states/eV/cell): 7.20
Total energy (eV/atom): -8.58
Volume (Å³ per cell): 56
Formation energy without anion corrections (eV per atom): 0.23
Spin magnetization (μB per formula unit): 0.001
Mass density (g/cm³): 17.92

Cell: 4.295 4.295 4.295 Å, 60.00 60.00 60.00°
Element x y z (fractional)
Ir (0.250, 0.250, 0.250)
Ir (0.500, 0.500, 0.500)
Ir (0.750, 0.750, 0.750)
Si (0.000, 0.000, 0.000)



The following is a DFT calculation (PBEsol) of a relaxed Si4Ir3 crystal.

Values from the calculation:
DOS at the Fermi energy (states/eV/cell): 3.10
Total energy (eV/atom): -8.21
Volume (Å³ per cell): 403
Formation energy without anion corrections (eV per atom): -0.72
Spin magnetization (μB per formula unit): 0.000
Mass density (g/cm³): 11.35

Cell: 3.706 5.769 18.852 Å, 90.00 90.00 90.00°
Element x y z (fractional)
Ir (0.750, 0.306, 0.031)
Ir (0.250, 0.806, 0.469)
Ir (0.250, 0.694, 0.969)
Ir (0.750, 0.194, 0.531)
Ir (0.750, 0.501, 0.176)
Ir (0.250, 0.001, 0.324)
Ir (0.250, 0.499, 0.824)
Ir (0.750, 0.999, 0.676)
Ir (0.750, 0.391, 0.326)
Ir (0.250, 0.891, 0.174)
Ir (0.250, 0.609, 0.674)
Ir (0.750, 0.109, 0.826)
Si (0.750, 0.110, 0.144)
Si (0.250, 0.610, 0.356)
Si (0.250, 0.890, 0.856)
Si (0.750, 0.390, 0.644)
Si (0.750, 0.714, 0.770)
Si (0.250, 0.214, 0.730)
Si (0.250, 0.286, 0.230)
Si (0.750, 0.786, 0.270)
Si (0.750, 0.073, 0.409)
Si (0.250, 0.573, 0.091)
Si (0.250, 0.927, 0.591)
Si (0.750, 0.427, 0.909)
Si (0.750, 0.973, 0.950)
Si (0.250, 0.473, 0.550)
Si (0.250, 0.027, 0.050)
Si (0.750, 0.527, 0.450)



The following is a DFT calculation (PBEsol) of a relaxed SiIr3 crystal.

Values from the calculation:
DOS at the Fermi energy (states/eV/cell): 4.72
Total energy (eV/atom): -9.21
Volume (Å³ per cell): 109
Formation energy without anion corrections (eV per atom): -0.41
Spin magnetization (μB per formula unit): 0.000
Mass density (g/cm³): 18.47

Cell: 5.220 5.436 5.220 Å, 118.70 90.00 118.70°
Element x y z (fractional)
Si (0.750, 0.500, 0.250)
Si (0.250, 0.500, 0.750)
Ir (0.750, 0.500, 0.750)
Ir (0.250, 0.500, 0.250)
Ir (0.315, 0.000, 0.185)
Ir (0.685, 0.000, 0.815)
Ir (0.185, 0.000, 0.685)
Ir (0.815, 0.000, 0.315)



The following is a DFT calculation (PBEsol) of a relaxed SiIr2 crystal.

Values from the calculation:
DOS at the Fermi energy (states/eV/cell): 2.36
Total energy (eV/atom): -8.12
Volume (Å³ per cell): 43
Formation energy without anion corrections (eV per atom): 0.34
Spin magnetization (μB per formula unit): 0.000
Mass density (g/cm³): 15.84

Cell: 2.726 4.280 4.280 Å, 120.00 90.00 90.00°
Element x y z (fractional)
Si (0.000, 0.000, 0.000)
Ir (0.500, 0.667, 0.333)
Ir (0.500, 0.333, 0.667)



The following is a DFT calculation (PBEsol) of a relaxed Si2Ir crystal.

Values from the calculation:
DOS at the Fermi energy (states/eV/cell): 0.94
Total energy (eV/atom): -7.53
Volume (Å³ per cell): 89
Formation energy without anion corrections (eV per atom): -0.42
Spin magnetization (μB per formula unit): 0.000
Mass density (g/cm³): 9.27

Cell: 3.796 4.410 5.945 Å, 97.23 90.00 115.49°
Element x y z (fractional)
Ir (0.026, 0.053, 0.948)
Ir (0.572, 0.144, 0.331)
Si (0.432, 0.863, 0.696)
Si (0.272, 0.543, 0.266)
Si (0.132, 0.265, 0.594)
Si (0.733, 0.466, 0.998)



The following is a DFT calculation (PBEsol) of a relaxed Si2Ir crystal.

Values from the calculation:
DOS at the Fermi energy (states/eV/cell): 1.00
Total energy (eV/atom): -7.68
Volume (Å³ per cell): 46
Formation energy without anion corrections (eV per atom): -0.57
Spin magnetization (μB per formula unit): 0.000
Mass density (g/cm³): 9.02

Cell: 4.014 4.014 4.014 Å, 60.00 60.00 60.00°
Element x y z (fractional)
Si (0.750, 0.750, 0.750)
Si (0.250, 0.250, 0.250)
Ir (0.000, 0.000, 0.000)



The following is a DFT calculation (PBEsol) of a relaxed SiIr3 crystal.

Values from the calculation:
DOS at the Fermi energy (states/eV/cell): 2.96
Total energy (eV/atom): -9.05
Volume (Å³ per cell): 54
Formation energy without anion corrections (eV per atom): -0.25
Spin magnetization (μB per formula unit): 0.000
Mass density (g/cm³): 18.47

Cell: 2.751 2.751 8.446 Å, 80.63 80.63 60.00°
Element x y z (fractional)
Ir (0.742, 0.742, 0.773)
Ir (0.500, 0.500, 0.500)
Ir (0.258, 0.258, 0.227)
Si (0.000, 0.000, 0.000)